KHoHg2 | PBE | relaxed

Properties
As for the crystal system: tetragonal. Its polymorph energy (0 for the lowest one) is 0.000 eV per atom.

a b c (Å): 3.7886 3.7886 8.3417
angles (deg): 90.00 90.00 90.00
Last column: nearest neighbours and their distance in Å.
Space group P4/mmm (No. 123)
One atom of each set of equivalent atoms:
1 K 0.0000 0.0000 0.0000 x1  8 Hg 3.66, 4 K 3.79
2 Ho 0.0000 0.0000 0.5000 x1  8 Hg 3.16
3 Hg 0.5000 0.5000 0.2982 x2  4 Ho 3.16, 1 Hg 3.37

---

BaAlRh2 | PBE | relaxed

Properties
As for the crystal system: cubic. Its polymorph energy (0 for the lowest one) is 0.847 eV per atom.

a b c (Å): 6.9136 6.9136 6.9136
angles (deg): 90.00 90.00 90.00
Last column: nearest neighbours and their distance in Å.
Space group F-43m (No. 216)
One atom of each set of equivalent atoms:
1 Ba 0.0000 0.0000 0.0000 x4  4 Rh 2.99, 4 Al 2.99
2 Al 0.2500 0.2500 0.7500 x4  4 Ba 2.99, 4 Rh 2.99
3 Rh 0.0000 0.0000 0.5000 x4  4 Al 2.99, 4 Rh 2.99
4 Rh 0.2500 0.2500 0.2500 x4  4 Ba 2.99, 4 Rh 2.99

---

Cs2PrPa3O12 | PBE | relaxed

Properties
The uncorrected formation energy is -2687 meV/atom. As for the crystal system: trigonal.

a b c (Å): 8.2968 8.2968 19.8746
angles (deg): 90.00 90.00 120.00
Last column: nearest neighbours and their distance in Å.
Space group R-3m (No. 166, hexagonal axes)
One atom of each set of equivalent atoms:
1 Cs 0.0000 0.0000 0.1253 x6  6 O 3.52-3.70
2 Pr 0.0000 0.0000 0.5000 x3  6 O 2.38
3 Pa 0.0000 0.5000 0.0000 x9  6 O 2.05-2.18
4 O 0.0562 0.5281 0.1010 x18  1 Pa 2.05
5 O 0.0828 0.5414 0.3492 x18  2 Pa 2.18

---

NdHo2ErAg4 | PBE | relaxed

Properties
As for the crystal system: trigonal. As for the raw total energy: -32.3 eV/f.u.

a b c (Å): 5.1578 5.1578 25.4218
angles (deg): 90.00 90.00 120.00
Last column: nearest neighbours and their distance in Å.
Space group R-3m (No. 166, hexagonal axes)
One atom of each set of equivalent atoms:
1 Nd 0.0000 0.0000 0.0000 x3  8 Ag 3.19-3.23
2 Ho 0.0000 0.0000 0.2487 x6  8 Ag 3.09-3.31
3 Er 0.0000 0.0000 0.5000 x3  8 Ag 3.08-3.14
4 Ag 0.0000 0.0000 0.1272 x6  4 Ho 3.09-3.17, 3 Er 3.14, 1 Nd 3.23
5 Ag 0.0000 0.0000 0.3789 x6  1 Er 3.08, 4 Ho 3.14-3.31, 3 Nd 3.19

---

Hf2MgIn | PBE | relaxed

Properties
As for the crystal system: tetragonal. As for the raw total energy: -24.4 eV/f.u.

a b c (Å): 4.3741 4.3741 4.4920
angles (deg): 90.00 90.00 90.00
Last column: nearest neighbours and their distance in Å.
Space group P4/mmm (No. 123)
One atom of each set of equivalent atoms:
1 Hf 0.0000 0.5000 0.0000 x2  4 Hf 3.09, 4 In 3.13, 4 Mg 3.13
2 Mg 0.0000 0.0000 0.5000 x1  4 In 3.09, 8 Hf 3.13
3 In 0.5000 0.5000 0.5000 x1  4 Mg 3.09, 8 Hf 3.13

---

Number 1: Fermi-level density of states 0.7881 states/eV per atom. Number 2: Fermi-level density of states 1.3764 states/eV per atom. Number 3: Fermi-level density of states 0.7861 states/eV per atom. Number 4: Fermi-level density of states 0.6238 states/eV per atom. Number 5: Fermi-level density of states 0.9919 states/eV per atom.